# 1
The following is a PBEsol calculation of GePd3Ru after structural relaxation, from the Alexandria database.

Summary:
Total magnetic moment   0.93 μB/f.u.
Uncorrected energy   -5.292 eV per atom

extended XYZ file:
```
5
Lattice="-0.3449 -3.2194 3.3844 1.1290 -3.3505 -3.0721 4.5326 0.5896 1.0228" Properties=species:S:1:pos:R:3 pbc="T T T"
Pd -0.1725 -1.6097 1.6922
Pd 2.2663 0.2948 0.5114
Pd 0.5645 -1.6752 -1.5360
Ge 2.6584 -2.9902 0.6676
Ru 0.0000 0.0000 0.0000
```


# 2
The following is a PBEsol calculation of TaGePdRu2 after structural relaxation, from the Alexandria database.

Summary:
Total magnetic moment   0.52 μB/f.u.
Uncorrected energy   -7.552 eV per atom

extended XYZ file:
```
5
Lattice="-4.2066 -1.2167 -0.2640 1.2212 -3.8517 -1.7083 0.2576 -1.8221 4.2924" Properties=species:S:1:pos:R:3 pbc="T T T"
Ta 0.1288 -0.9111 2.1462
Ru 0.6106 -1.9259 -0.8542
Ru -2.1033 -0.6083 -0.1320
Pd -1.3639 -3.4453 1.1600
Ge 0.0000 0.0000 0.0000
```


| no. | DOS(E_F) (states/eV per cell) | calculated volume (Å³/f.u.) |
| --- | --- | --- |
| 1 | 7.740 | 102.75 |
| 2 | 5.500 | 89.88 |